PBE-GGA TaIn3Os, relaxed; energy relative to the elements = 1.2811 eV per atom; SG = Pm-3m, No. 221; density of states at the Fermi level = 4.9 states/eV per cell
1.0
5.0781 0.0000 0.0000
0.0000 5.0781 0.0000
0.0000 0.0000 5.0781
Ta In Os
1 3 1
direct
0.0000 0.0000 0.0000 Ta
0.0000 0.5000 0.5000 In
0.5000 0.0000 0.5000 In
0.5000 0.5000 0.0000 In
0.5000 0.5000 0.5000 Os

***

PBE-GGA TaIn3Os, relaxed; energy relative to the elements = 1.8866 eV per atom; SG = Pm-3m, No. 221; density of states at the Fermi level = 3.5 states/eV per cell
1.0
5.3104 0.0000 0.0000
0.0000 5.3104 0.0000
0.0000 0.0000 5.3104
Ta In Os
1 3 1
direct
0.0000 0.0000 0.0000 Ta
0.0000 0.0000 0.5000 In
0.0000 0.5000 0.0000 In
0.5000 0.0000 0.0000 In
0.5000 0.5000 0.5000 Os

***

PBE-GGA TaInOs2, relaxed; energy relative to the elements = 0.1796 eV per atom; SG = P4mm, No. 99; density of states at the Fermi level = 2.7 states/eV per cell
1.0
2.8488 0.0000 0.0000
0.0000 2.8488 0.0000
0.0000 0.0000 8.3065
Ta In Os
1 1 2
direct
0.0000 0.0000 0.0000 Ta
0.5000 0.5000 0.2799 In
0.0000 0.0000 0.5394 Os
0.5000 0.5000 0.7401 Os

***

PBE-GGA Ta2InOs2, relaxed; energy relative to the elements = -0.0556 eV per atom; SG = P4/mbm, No. 127; density of states at the Fermi level = 6.8 states/eV per cell
1.0
7.6640 0.0000 0.0000
0.0000 7.6640 0.0000
0.0000 0.0000 3.0416
Ta In Os
4 2 4
direct
0.1564 0.3436 0.0000 Ta
0.3436 0.8436 0.0000 Ta
0.6564 0.1564 0.0000 Ta
0.8436 0.6564 0.0000 Ta
0.0000 0.0000 0.5000 In
0.5000 0.5000 0.5000 In
0.1352 0.6352 0.5000 Os
0.3648 0.1352 0.5000 Os
0.6352 0.8648 0.5000 Os
0.8648 0.3648 0.5000 Os

***

PBE-GGA TaInOs, relaxed; energy relative to the elements = 0.2811 eV per atom; SG = F-43m, No. 216; density of states at the Fermi level = 5.0 states/eV per cell
1.0
0.0000 3.1343 3.1343
3.1343 0.0000 3.1343
3.1343 3.1343 0.0000
Ta In Os
1 1 1
direct
0.0000 0.0000 0.0000 Ta
0.5000 0.5000 0.5000 In
0.2500 0.2500 0.2500 Os

***

PBE-GGA TaInOs, relaxed; energy relative to the elements = 0.3012 eV per atom; SG = Fmm2, No. 42; density of states at the Fermi level = 2.7 states/eV per cell
1.0
0.0000 2.5005 7.0242
1.5564 0.0000 7.0242
1.5564 2.5005 0.0000
Ta In Os
1 1 1
direct
0.0000 0.0000 0.0000 Ta
0.6820 0.6820 0.3180 In
0.3530 0.3530 0.6470 Os

***

PBE-GGA TaInOs2, relaxed; energy relative to the elements = 0.8128 eV per atom; SG = Immm, No. 71; density of states at the Fermi level = 3.4 states/eV per cell
1.0
-1.3656 2.4263 5.5626
1.3656 -2.4263 5.5626
1.3656 2.4263 -5.5626
Ta In Os
1 1 2
direct
0.0000 0.0000 0.0000 Ta
0.5000 0.5000 0.0000 In
0.2264 0.2264 0.0000 Os
0.7736 0.7736 0.0000 Os

***

PBE-GGA TaInOs2, relaxed; energy relative to the elements = 0.2490 eV per atom; SG = R-3m, No. 166; density of states at the Fermi level = 3.5 states/eV per cell
1.0
1.4640 0.8452 9.0843
-1.4640 0.8452 9.0843
0.0000 -1.6904 9.0843
Ta In Os
1 1 2
direct
0.0000 0.0000 0.0000 Ta
0.5000 0.5000 0.5000 In
0.2543 0.2543 0.2543 Os
0.7457 0.7457 0.7457 Os